9
Lattice="3.8710 0.0000 0.0000 1.9355 5.6660 0.0000 1.9355 0.0000 5.6660" Properties=species:S:1:pos:R:3 comment="MnCu4Pd4 | the Alexandria database | PBE-GGA | optimized geometry" delta_e_f_ev_per_atom=-0.136 pbc="T T T"
Pd 5.8066 3.8399 1.8263
Pd 3.8710 1.8263 1.8261
Pd 1.9355 1.8261 3.8397
Pd 3.8710 3.8397 3.8399
Cu 5.8066 5.6659 3.7960
Cu 3.8710 3.7960 0.0001
Cu 3.8710 1.8701 5.6659
Cu 1.9355 0.0001 1.8701
Mn 0.0000 0.0000 0.0000